[1]
TeAs3 | GGA-PBE | optimized geometry

The calculation puts the uncorrected formation energy at 0.2243 eV per atom. Its final energy is -4.0482 eV/atom. The excess energy over the best structure of this formula in the dataset is 0.128 eV/atom. The calculation puts the mass density at 6233 kg/m³. For the density of states at the Fermi level, the calculation gives 0.40 states/eV/atom.

The space group is P6_3/mmc (No. 194) and the conventional cell measures 7.7235, 7.7235 and 7.2688 Å, with angles of 90.00, 90.00 and 120.00 degrees. Symmetry generates all atoms from Te at (0.0000, 0.0000, 0.0000), Te at (0.3333, 0.6667, 0.2500), As at (0.0000, 0.5000, 0.0000) and As at (0.1778, 0.3555, 0.7500).

=====

[2]
Te3As | GGA-PBE | optimized geometry

The calculation puts the uncorrected formation energy at 0.1718 eV per atom. Its final energy is -3.3469 eV/atom. The excess energy over the best structure of this formula in the dataset is 0.098 eV/atom. The calculation puts the mass density at 6079 kg/m³. For the density of states at the Fermi level, the calculation gives 0.43 states/eV/atom.

The space group is Pnma (No. 62) and the conventional cell measures 8.3362, 7.6421 and 7.8506 Å, with angles of 90.00, 90.00 and 90.00 degrees. Symmetry generates all atoms from Te at (0.0805, 0.2500, 0.0906), Te at (0.1864, 0.5044, 0.3460) and As at (0.0631, 0.2500, 0.5998).

=====

[3]
TeAs3 | GGA-PBE | optimized geometry

The calculation puts the uncorrected formation energy at 0.3241 eV per atom. Its final energy is -3.9485 eV/atom. The excess energy over the best structure of this formula in the dataset is 0.228 eV/atom. The calculation puts the mass density at 6328 kg/m³. For the density of states at the Fermi level, the calculation gives 0.31 states/eV/atom.

The space group is I4/mmm (No. 139) and the conventional cell measures 3.8059, 3.8059 and 25.5342 Å, with angles of 90.00, 90.00 and 90.00 degrees. Symmetry generates all atoms from Te at (0.0000, 0.0000, 0.1071), As at (0.0000, 0.0000, 0.3431), As at (0.0000, 0.5000, 0.0000) and As at (0.0000, 0.5000, 0.2500).

=====

[4]
Te3As | GGA-PBE | optimized geometry

The calculation puts the uncorrected formation energy at 0.5698 eV per atom. Its final energy is -2.9489 eV/atom. The excess energy over the best structure of this formula in the dataset is 0.496 eV/atom. The calculation puts the mass density at 7106 kg/m³. For the density of states at the Fermi level, the calculation gives 1.52 states/eV/atom.

The space group is Pm-3n (No. 223) and the conventional cell measures 5.9806, 5.9806 and 5.9806 Å, with angles of 90.00, 90.00 and 90.00 degrees. Symmetry generates all atoms from Te at (0.0000, 0.2500, 0.5000) and As at (0.0000, 0.0000, 0.0000).

=====

[5]
TeAs3 | GGA-PBE | optimized geometry

The calculation puts the uncorrected formation energy at 0.1105 eV per atom. Its final energy is -4.1621 eV/atom. The excess energy over the best structure of this formula in the dataset is 0.014 eV/atom. The calculation puts the mass density at 6312 kg/m³. For the density of states at the Fermi level, the calculation gives 0.48 states/eV/atom.

The space group is R-3m (No. 166, hexagonal axes) and the conventional cell measures 3.9774, 3.9774 and 20.2975 Å, with angles of 90.00, 90.00 and 120.00 degrees. Symmetry generates all atoms from Te at (0.0000, 0.0000, 0.0000), As at (0.0000, 0.0000, 0.2417) and As at (0.0000, 0.0000, 0.5000).

=====

[6]
Te3As | GGA-PBE | optimized geometry

The calculation puts the uncorrected formation energy at 0.1837 eV per atom. Its final energy is -3.3350 eV/atom. The excess energy over the best structure of this formula in the dataset is 0.110 eV/atom. The calculation puts the mass density at 5532 kg/m³. For the density of states at the Fermi level, the calculation gives 0.59 states/eV/atom.

The space group is Imm2 (No. 44) and the conventional cell measures 3.8712, 7.9308 and 8.9500 Å, with angles of 90.00, 90.00 and 90.00 degrees. Symmetry generates all atoms from Te at (0.0000, 0.0000, 0.0000), Te at (0.0000, 0.2270, 0.6015) and As at (0.0000, 0.5000, 0.9854).

=====

[7]
TeAs3 | GGA-PBE | optimized geometry

The calculation puts the uncorrected formation energy at 0.2023 eV per atom. Its final energy is -4.0703 eV/atom. The excess energy over the best structure of this formula in the dataset is 0.106 eV/atom. The calculation puts the mass density at 5954 kg/m³. For the density of states at the Fermi level, the calculation gives 0.51 states/eV/atom.

The space group is Pnma (No. 62) and the conventional cell measures 6.6700, 7.1524 and 8.2391 Å, with angles of 90.00, 90.00 and 90.00 degrees. Symmetry generates all atoms from Te at (0.0870, 0.2500, 0.1193), As at (0.0947, 0.2500, 0.6346) and As at (0.2362, 0.5248, 0.3429).

=====

[8]
Te3As | GGA-PBE | optimized geometry

The calculation puts the uncorrected formation energy at 0.2116 eV per atom. Its final energy is -3.3070 eV/atom. The excess energy over the best structure of this formula in the dataset is 0.138 eV/atom. The calculation puts the mass density at 6523 kg/m³. For the density of states at the Fermi level, the calculation gives 0.76 states/eV/atom.

The space group is P6_3/mmc (No. 194) and the conventional cell measures 8.0455, 8.0455 and 4.1573 Å, with angles of 90.00, 90.00 and 120.00 degrees. Symmetry generates all atoms from Te at (0.1818, 0.3636, 0.2500) and As at (0.3333, 0.6667, 0.7500).

=====

[9]
TeAs3 | GGA-PBE | optimized geometry

The calculation puts the uncorrected formation energy at 0.4338 eV per atom. Its final energy is -3.8388 eV/atom. The excess energy over the best structure of this formula in the dataset is 0.338 eV/atom. The calculation puts the mass density at 6680 kg/m³. For the density of states at the Fermi level, the calculation gives 0.58 states/eV/atom.

The space group is Cmmm (No. 65) and the conventional cell measures 3.5265, 4.9168 and 10.1038 Å, with angles of 90.00, 90.00 and 90.00 degrees. Symmetry generates all atoms from Te at (0.0000, 0.0000, 0.0000), As at (0.0000, 0.0000, 0.5000) and As at (0.0000, 0.5000, 0.2824).

=====

[10]
TeAs3 | GGA-PBE | optimized geometry

The calculation puts the uncorrected formation energy at 0.4030 eV per atom. Its final energy is -3.8696 eV/atom. The excess energy over the best structure of this formula in the dataset is 0.307 eV/atom. The calculation puts the mass density at 6382 kg/m³. For the density of states at the Fermi level, the calculation gives 0.66 states/eV/atom.

The space group is P6_3/mmc (No. 194) and the conventional cell measures 6.8090, 6.8090 and 4.5670 Å, with angles of 90.00, 90.00 and 120.00 degrees. Symmetry generates all atoms from Te at (0.3333, 0.6667, 0.2500) and As at (0.1393, 0.2785, 0.7500).

=====

[11]
TeAs3 | GGA-PBE | optimized geometry

The calculation puts the uncorrected formation energy at 0.1009 eV per atom. Its final energy is -4.1717 eV/atom. The excess energy over the best structure of this formula in the dataset is 0.005 eV/atom. The calculation puts the mass density at 6126 kg/m³. For the density of states at the Fermi level, the calculation gives 0.39 states/eV/atom.

The space group is P2/m (No. 10) and the conventional cell measures 4.7852, 4.0069 and 5.2570 Å, with angles of 90.00, 108.62 and 90.00 degrees. Symmetry generates all atoms from Te at (0.0000, 0.0000, 0.0000), As at (0.2355, 0.5000, 0.6984) and As at (0.5000, 0.0000, 0.5000).

=====

[12]
Te3As | GGA-PBE | optimized geometry

The calculation puts the uncorrected formation energy at 0.1106 eV per atom. Its final energy is -3.4080 eV/atom. The excess energy over the best structure of this formula in the dataset is 0.037 eV/atom. The calculation puts the mass density at 6427 kg/m³. For the density of states at the Fermi level, the calculation gives 0.69 states/eV/atom.

The space group is R-3m (No. 166, hexagonal axes) and the conventional cell measures 8.7378, 8.7378 and 5.3655 Å, with angles of 90.00, 90.00 and 120.00 degrees. Symmetry generates all atoms from Te at (0.0000, 0.5000, 0.0000) and As at (0.0000, 0.0000, 0.0000).

=====

uncorrected formation energy of number 3 (TeAs3)? 0.3241 eV per atom

=====

final energy of number 2 (Te3As)? -3.3469 eV/atom

=====

What is the formula in the sixth record? Te3As